Here is a relaxed structure of Ti3CuPd5 from Alexandria via LeMat-Bulk. Energies are from GGA-PBE.

a = 7.334 Å, b = 7.334 Å, c = 7.480 Å
α = 119.36°, β = 119.36°, γ = 90.00°
Sites, in units of the cell vectors:
Ti (0.611, 0.111, 0.000)
Ti (0.389, 0.889, 0.000)
Ti (0.889, 0.611, 0.000)
Ti (0.111, 0.389, 0.000)
Ti (0.250, 0.250, 0.500)
Ti (0.750, 0.750, 0.500)
Cu (0.750, 0.250, 0.500)
Cu (0.250, 0.750, 0.500)
Pd (0.073, 0.573, 0.734)
Pd (0.662, 0.162, 0.734)
Pd (0.162, 0.073, 0.734)
Pd (0.573, 0.662, 0.734)
Pd (0.927, 0.427, 0.266)
Pd (0.338, 0.838, 0.266)
Pd (0.838, 0.927, 0.266)
Pd (0.427, 0.338, 0.266)
Pd (0.500, 0.500, 0.000)
Pd (0.000, 0.000, 0.000)

Properties
The total magnetization comes out at 0.00 μB per formula unit. The formation energy is -1.9 eV/f.u. The total energy comes out at -6.1793 eV per atom. The mass density comes out at 8.5 Mg/m³.

Here is a relaxed structure of Ti6CuPd5 from Alexandria via LeMat-Bulk. Energies are from GGA-PBE.

a = 3.974 Å, b = 7.797 Å, c = 7.409 Å
α = 121.75°, β = 105.56°, γ = 90.00°
Each line ends with the local moment (μB).
Sites, in units of the cell vectors:
Pd (0.662, 0.162, 0.324)  0.00
Pd (0.332, 0.332, 0.664)  0.00
Pd (0.000, 0.500, 0.000)  0.00
Pd (0.668, 0.668, 0.336)  0.00
Pd (0.338, 0.838, 0.676)  0.00
Cu (0.000, 0.000, 0.000)  0.01
Ti (0.834, 0.585, 0.668)  0.17
Ti (0.834, 0.083, 0.668)  0.17
Ti (0.500, 0.752, 0.000)  0.10
Ti (0.500, 0.248, 0.000)  0.10
Ti (0.166, 0.917, 0.332)  0.17
Ti (0.166, 0.415, 0.332)  0.17

Properties
The total magnetization comes out at 1.05 μB per formula unit. The calculation puts the energy relative to the lowest polymorph listed for this composition at 0.0 meV/atom. The formation energy is -5.4 eV/f.u. The total energy comes out at -6.9005 eV per atom. The mass density comes out at 7.9 Mg/m³.

Here is a relaxed structure of TiCu2Pd from Alexandria via LeMat-Bulk. Energies are from GGA-PBE.

a = 4.345 Å, b = 2.700 Å, c = 9.907 Å
α = 105.74°, β = 90.00°, γ = 90.00°
Sites, in units of the cell vectors:
Ti (0.750, 0.544, 0.296)
Ti (0.250, 0.456, 0.704)
Cu (0.250, 0.710, 0.458)
Cu (0.750, 0.290, 0.542)
Cu (0.250, 0.215, 0.963)
Cu (0.750, 0.785, 0.037)
Pd (0.750, 0.046, 0.796)
Pd (0.250, 0.954, 0.204)

Properties
The total magnetization comes out at 0.00 μB per formula unit. The formation energy is -0.8 eV/f.u. The total energy comes out at -5.5278 eV per atom. The mass density comes out at 8.4 Mg/m³.

Here is a relaxed structure of Ti5Cu2Pd5 from Alexandria via LeMat-Bulk. Energies are from GGA-PBE.

a = 3.314 Å, b = 6.633 Å, c = 9.338 Å
α = 112.22°, β = 90.00°, γ = 104.47°
Sites, in units of the cell vectors:
Ti (0.160, 0.321, 0.494)
Ti (0.744, 0.488, 0.764)
Ti (0.256, 0.512, 0.236)
Ti (0.840, 0.679, 0.506)
Ti (0.000, 0.000, 0.000)
Cu (0.076, 0.152, 0.740)
Cu (0.924, 0.848, 0.260)
Pd (0.500, 0.000, 0.500)
Pd (0.653, 0.306, 0.983)
Pd (0.592, 0.185, 0.251)
Pd (0.408, 0.815, 0.749)
Pd (0.347, 0.694, 0.017)

Properties
The total magnetization comes out at 0.00 μB per formula unit. The formation energy is -5.3 eV/f.u. The total energy comes out at -6.5764 eV per atom. The mass density comes out at 8.2 Mg/m³.

Here is a relaxed structure of Ti2CuPd4 from Alexandria via LeMat-Bulk. Energies are from GGA-PBE.

a = 9.820 Å, b = 6.475 Å, c = 3.510 Å
α = 90.00°, β = 90.00°, γ = 90.00°
Sites, in units of the cell vectors:
Ti (0.075, 0.702, 0.500)
Ti (0.925, 0.298, 0.500)
Ti (0.575, 0.798, 0.500)
Ti (0.425, 0.202, 0.500)
Cu (0.000, 0.000, 0.000)
Cu (0.500, 0.500, 0.000)
Pd (0.880, 0.611, 0.000)
Pd (0.683, 0.438, 0.500)
Pd (0.817, 0.938, 0.500)
Pd (0.620, 0.111, 0.000)
Pd (0.380, 0.889, 0.000)
Pd (0.183, 0.062, 0.500)
Pd (0.317, 0.562, 0.500)
Pd (0.120, 0.389, 0.000)

Properties
The total magnetization comes out at 0.00 μB per formula unit. The calculation puts the energy relative to the lowest polymorph listed for this composition at 19.0 meV/atom. The formation energy is -2.2 eV/f.u. The total energy comes out at -6.1266 eV per atom. The mass density comes out at 8.7 Mg/m³.

Here is a relaxed structure of TiCu2Pd5 from Alexandria via LeMat-Bulk. Energies are from GGA-PBE.

a = 3.986 Å, b = 5.441 Å, c = 10.778 Å
α = 90.00°, β = 90.00°, γ = 90.00°
Sites, in units of the cell vectors:
Ti (0.000, 0.000, 0.500)
Ti (0.000, 0.500, 0.000)
Cu (0.500, 0.283, 0.369)
Cu (0.500, 0.717, 0.631)
Cu (0.500, 0.217, 0.869)
Cu (0.500, 0.783, 0.131)
Pd (0.500, 0.279, 0.115)
Pd (0.500, 0.721, 0.885)
Pd (0.500, 0.779, 0.385)
Pd (0.500, 0.221, 0.615)
Pd (0.000, 0.960, 0.739)
Pd (0.000, 0.040, 0.261)
Pd (0.000, 0.460, 0.761)
Pd (0.000, 0.540, 0.239)
Pd (0.000, 0.500, 0.500)
Pd (0.000, 0.000, 0.000)

Properties
The total magnetization comes out at 0.00 μB per formula unit. The calculation puts the energy relative to the lowest polymorph listed for this composition at 0.0 meV/atom. The formation energy is -2.7 eV/f.u. The total energy comes out at -5.6000 eV per atom. The mass density comes out at 10.0 Mg/m³.

Here is a relaxed structure of Ti2Cu4Pd3 from Alexandria via LeMat-Bulk. Energies are from GGA-PBE.

a = 3.750 Å, b = 4.780 Å, c = 7.959 Å
α = 75.75°, β = 76.37°, γ = 66.90°
Sites, in units of the cell vectors:
Ti (0.332, 0.108, 0.228)
Ti (0.668, 0.892, 0.772)
Cu (0.667, 0.559, 0.106)
Cu (0.994, 0.339, 0.674)
Cu (0.006, 0.661, 0.326)
Cu (0.333, 0.441, 0.894)
Pd (0.330, 0.774, 0.566)
Pd (0.000, 0.000, 0.000)
Pd (0.670, 0.226, 0.434)

Properties
The total magnetization comes out at 0.00 μB per formula unit. The calculation puts the energy relative to the lowest polymorph listed for this composition at 0.0 meV/atom. The formation energy is -3.1 eV/f.u. The total energy comes out at -5.6482 eV per atom. The mass density comes out at 8.8 Mg/m³.

Here is a relaxed structure of TiCu2Pd4 from Alexandria via LeMat-Bulk. Energies are from GGA-PBE.

a = 5.229 Å, b = 5.229 Å, c = 5.229 Å
α = 103.19°, β = 112.70°, γ = 112.70°
Sites, in units of the cell vectors:
Ti (0.000, 0.000, 0.000)
Cu (0.500, 0.500, 0.000)
Cu (0.500, 0.000, 0.500)
Pd (0.500, 0.000, 0.000)
Pd (0.500, 0.500, 0.500)
Pd (0.000, 0.000, 0.500)
Pd (0.000, 0.500, 0.000)

Properties
The total magnetization comes out at 0.00 μB per formula unit. The calculation puts the energy relative to the lowest polymorph listed for this composition at 24.1 meV/atom. The formation energy is -1.4 eV/f.u. The total energy comes out at -5.4673 eV per atom. The mass density comes out at 9.1 Mg/m³.

Here is a relaxed structure of TiCu3Pd4 from Alexandria via LeMat-Bulk. Energies are from GGA-PBE.

a = 4.485 Å, b = 5.743 Å, c = 8.792 Å
α = 90.00°, β = 90.00°, γ = 90.00°
Sites, in units of the cell vectors:
Pd (0.500, 0.752, 0.000)
Pd (0.500, 0.752, 0.500)
Pd (0.500, 0.248, 0.000)
Pd (0.500, 0.248, 0.500)
Pd (0.089, 0.752, 0.750)
Pd (0.911, 0.752, 0.250)
Pd (0.911, 0.248, 0.250)
Pd (0.089, 0.248, 0.750)
Cu (0.000, 0.000, 0.000)
Cu (0.000, 0.000, 0.500)
Cu (0.597, 0.000, 0.750)
Cu (0.403, 0.000, 0.250)
Cu (0.587, 0.500, 0.750)
Cu (0.413, 0.500, 0.250)
Ti (0.000, 0.500, 0.000)
Ti (0.000, 0.500, 0.500)

Properties
The total magnetization comes out at 0.00 μB per formula unit. The formation energy is -2.6 eV/f.u. The total energy comes out at -5.4452 eV per atom. The mass density comes out at 9.7 Mg/m³.

Here is a relaxed structure of Ti2Cu8Pd from Alexandria via LeMat-Bulk. Energies are from GGA-PBE.

a = 3.756 Å, b = 5.963 Å, c = 6.998 Å
α = 105.39°, β = 105.57°, γ = 90.00°
Each line ends with the local moment (μB).
Sites, in units of the cell vectors:
Ti (0.776, 0.356, 0.552)  0.51
Ti (0.224, 0.644, 0.448)  0.51
Cu (0.412, 0.544, 0.825)  0.02
Cu (0.678, 0.903, 0.357)  0.02
Cu (0.861, 0.825, 0.721)  0.03
Cu (0.961, 0.277, 0.922)  0.00
Cu (0.139, 0.175, 0.279)  0.03
Cu (0.322, 0.097, 0.643)  0.02
Cu (0.588, 0.456, 0.175)  0.02
Cu (0.039, 0.723, 0.078)  0.00
Pd (0.500, 0.000, 0.000)  0.01

Properties
The total magnetization comes out at 1.32 μB per formula unit. The formation energy is -0.6 eV/f.u. The total energy comes out at -4.9449 eV per atom. The mass density comes out at 8.1 Mg/m³.

Here is a relaxed structure of Ti3Cu2Pd from Alexandria via LeMat-Bulk. Energies are from GGA-PBE.

a = 2.617 Å, b = 4.849 Å, c = 7.961 Å
α = 107.73°, β = 99.46°, γ = 90.00°
Sites, in units of the cell vectors:
Ti (0.000, 0.500, 0.000)
Ti (0.821, 0.821, 0.642)
Ti (0.179, 0.179, 0.358)
Cu (0.654, 0.654, 0.308)
Cu (0.346, 0.346, 0.692)
Pd (0.000, 0.000, 0.000)

Properties
The total magnetization comes out at 0.00 μB per formula unit. The formation energy is 0.7 eV/f.u. The total energy comes out at -6.0596 eV per atom. The mass density comes out at 6.6 Mg/m³.